ScMn6Fe6 (PBE, relaxed); symmetry = Immm, No. 71; VASP energy = -8.635 eV per atom; size of the total moment = 4.207 μB per cell
1.0
4.307 0.000 1.721
2.141 5.798 0.891
0.002 -0.106 6.244
Sc Mn Fe
1 6 6
direct
0.000 0.000 0.000
0.358 0.642 0.642
0.642 0.358 0.358
0.000 0.364 0.636
0.000 0.636 0.364
0.288 0.212 0.212
0.712 0.788 0.788
0.000 0.500 0.000
0.500 0.500 0.000
0.000 0.000 0.500
0.500 0.000 0.500
0.500 0.771 0.229
0.500 0.229 0.771